[1]
The following is a DFT calculation (PBE) of a relaxed structure of LaNbOs2.

Summary:
**Raw total energy**: -8.82 eV/atom
**Fermi-level density of states**: 1.8 states/eV/f.u.
**Energy relative to the elements**: 0.539 eV per atom

a = 7.396 Å, b = 7.396 Å, c = 6.033 Å
α = 52.20°, β = 52.20°, γ = 90.00°
Atoms (fractional coordinates):
Nb: 0.500 0.500 0.000
Nb: 0.250 0.750 0.500
Os: 0.592 0.125 0.250
Os: 0.158 0.625 0.250
Os: 0.375 0.408 0.750
Os: 0.875 0.842 0.750
La: 0.000 0.000 0.000
La: 0.750 0.250 0.500



[2]
The following is a DFT calculation (PBE) of a relaxed structure of LaNbOs.

Summary:
**Raw total energy**: -8.89 eV/atom
**Fermi-level density of states**: 3.7 states/eV/f.u.
**Energy relative to the elements**: -0.146 eV per atom

a = 4.574 Å, b = 4.574 Å, c = 6.791 Å
α = 90.00°, β = 90.00°, γ = 90.00°
Atoms (fractional coordinates):
La: 0.000 0.500 0.860
La: 0.500 0.000 0.140
Os: 0.000 0.500 0.312
Os: 0.500 0.000 0.688
Nb: 0.500 0.500 0.500
Nb: 0.000 0.000 0.500



[3]
The following is a DFT calculation (PBE) of a relaxed structure of La2NbOs2.

Summary:
**Raw total energy**: -8.42 eV/atom
**Fermi-level density of states**: 5.3 states/eV/f.u.
**Energy relative to the elements**: 0.062 eV per atom

a = 6.836 Å, b = 6.836 Å, c = 4.994 Å
α = 90.00°, β = 90.00°, γ = 90.00°
Atoms (fractional coordinates):
Nb: 0.000 0.000 0.000
Nb: 0.500 0.500 0.000
Os: 0.372 0.872 0.000
Os: 0.872 0.628 0.000
Os: 0.628 0.128 0.000
Os: 0.128 0.372 0.000
La: 0.180 0.680 0.500
La: 0.680 0.820 0.500
La: 0.820 0.320 0.500
La: 0.320 0.180 0.500



[4]
The following is a DFT calculation (PBE) of a relaxed structure of LaNb2Os2.

Summary:
**Raw total energy**: -9.73 eV/atom
**Offset from the most stable computed form**: 0 meV/atom
**Fermi-level density of states**: 3.3 states/eV/f.u.
**Energy relative to the elements**: -0.228 eV per atom

a = 4.451 Å, b = 4.451 Å, c = 6.236 Å
α = 69.09°, β = 69.09°, γ = 90.00°
Atoms (fractional coordinates):
Nb: 0.750 0.250 0.500
Nb: 0.250 0.750 0.500
Os: 0.379 0.379 0.241
Os: 0.621 0.621 0.759
La: 0.000 0.000 0.000



[5]
The following is a DFT calculation (PBE) of a relaxed structure of LaNbP2Os.

Summary:
**Raw total energy**: -8.19 eV/atom
**Fermi-level density of states**: 3.9 states/eV/f.u.
**Energy relative to the elements**: -0.779 eV per atom

a = 4.030 Å, b = 4.030 Å, c = 6.554 Å
α = 107.90°, β = 107.90°, γ = 90.00°
Atoms (fractional coordinates):
La: 0.000 0.000 0.000
Nb: 0.750 0.250 0.500
P: 0.630 0.630 0.261
P: 0.370 0.370 0.739
Os: 0.250 0.750 0.500



[6]
The following is a DFT calculation (PBE) of a relaxed structure of La2NbOsRh.

Summary:
**Raw total energy**: -6.72 eV/atom
**Fermi-level density of states**: 5.1 states/eV/f.u.
**Energy relative to the elements**: 0.977 eV per atom

a = 5.457 Å, b = 4.678 Å, c = 5.457 Å
α = 90.00°, β = 90.00°, γ = 90.00°
Site moments in Bohr magnetons follow the coordinates.
Atoms (fractional coordinates):
Rh: 0.500 0.500 0.500  0.28
Nb: 0.000 0.000 0.000  0.02
Os: 0.000 0.500 0.000  0.26
La: 0.000 0.000 0.500  -0.01
La: 0.500 0.000 0.000  -0.01



[7]
The following is a DFT calculation (PBE) of a relaxed structure of LaNb2OsRh.

Summary:
**Raw total energy**: -6.52 eV/atom
**Fermi-level density of states**: 7.0 states/eV/f.u.
**Energy relative to the elements**: 2.209 eV per atom

a = 4.864 Å, b = 4.637 Å, c = 4.864 Å
α = 90.00°, β = 90.00°, γ = 90.00°
Atoms (fractional coordinates):
Rh: 0.000 0.500 0.000
Nb: 0.000 0.000 0.500
Nb: 0.500 0.000 0.000
Os: 0.500 0.500 0.500
La: 0.000 0.000 0.000



[8]
The following is a DFT calculation (PBE) of a relaxed structure of LaNbSi2Os.

Summary:
**Raw total energy**: -8.01 eV/atom
**Fermi-level density of states**: 3.3 states/eV/f.u.
**Uncorrected formation energy**: -58 kJ per mole of atoms

a = 4.115 Å, b = 4.115 Å, c = 6.294 Å
α = 109.08°, β = 109.08°, γ = 90.00°
Atoms (fractional coordinates):
La: 0.000 0.000 0.000
Nb: 0.750 0.250 0.500
Si: 0.614 0.614 0.228
Si: 0.386 0.386 0.772
Os: 0.250 0.750 0.500



[9]
The following is a DFT calculation (PBE) of a relaxed structure of LaTaNbOs2.

Summary:
**Raw total energy**: -10.12 eV/atom
**Offset from the most stable computed form**: 0 meV/atom
**Fermi-level density of states**: 3.3 states/eV/f.u.
**Energy relative to the elements**: -0.260 eV per atom

a = 4.431 Å, b = 4.431 Å, c = 6.264 Å
α = 110.72°, β = 110.72°, γ = 90.00°
Atoms (fractional coordinates):
La: 0.000 0.000 0.000
Ta: 0.250 0.750 0.500
Nb: 0.750 0.250 0.500
Os: 0.621 0.621 0.241
Os: 0.379 0.379 0.759



[10]
The following is a DFT calculation (PBE) of a relaxed structure of LaTaNbOs2.

Summary:
**Raw total energy**: -8.18 eV/atom
**Offset from the most stable computed form**: 1936 meV/atom
**Fermi-level density of states**: 5.0 states/eV/f.u.
**Energy relative to the elements**: 1.677 eV per atom

a = 4.795 Å, b = 5.220 Å, c = 4.795 Å
α = 90.00°, β = 90.00°, γ = 90.00°
Site moments in Bohr magnetons follow the coordinates.
Atoms (fractional coordinates):
Nb: 0.500 0.500 0.500  1.58
La: 0.000 0.500 0.000  0.07
Os: 0.000 0.000 0.500  -0.28
Os: 0.500 0.000 0.000  -0.25
Ta: 0.000 0.000 0.000  -0.07



[11]
The following is a DFT calculation (PBE) of a relaxed structure of LaNb2TcOs.

Summary:
**Raw total energy**: -8.58 eV/atom
**Fermi-level density of states**: 7.8 states/eV/f.u.
**Energy relative to the elements**: 0.748 eV per atom

a = 4.926 Å, b = 4.853 Å, c = 4.926 Å
α = 90.00°, β = 90.00°, γ = 90.00°
Site moments in Bohr magnetons follow the coordinates.
Atoms (fractional coordinates):
Nb: 0.000 0.000 0.500  0.37
Nb: 0.500 0.000 0.000  0.29
Os: 0.000 0.000 0.000  -0.03
Tc: 0.000 0.500 0.000  0.20
La: 0.500 0.500 0.500  0.07



[12]
The following is a DFT calculation (PBE) of a relaxed structure of LaNbTc2Os.

Summary:
**Raw total energy**: -7.99 eV/atom
**Fermi-level density of states**: 7.9 states/eV/f.u.
**Energy relative to the elements**: 1.399 eV per atom

a = 4.758 Å, b = 5.265 Å, c = 4.758 Å
α = 90.00°, β = 90.00°, γ = 90.00°
Site moments in Bohr magnetons follow the coordinates.
Atoms (fractional coordinates):
Nb: 0.500 0.500 0.500  1.89
Os: 0.000 0.000 0.000  0.03
Tc: 0.000 0.000 0.500  -0.49
Tc: 0.500 0.000 0.000  -0.47
La: 0.000 0.500 0.000  0.13



[13]
The following is a DFT calculation (PBE) of a relaxed structure of LaNbOs2W.

Summary:
**Raw total energy**: -10.22 eV/atom
**Fermi-level density of states**: 3.5 states/eV/f.u.
**Energy relative to the elements**: -0.135 eV per atom

a = 4.423 Å, b = 4.423 Å, c = 6.180 Å
α = 110.97°, β = 110.97°, γ = 90.00°
Atoms (fractional coordinates):
La: 0.000 0.000 0.000
Nb: 0.750 0.250 0.500
Os: 0.624 0.624 0.248
Os: 0.376 0.376 0.752
W: 0.250 0.750 0.500



[14]
The following is a DFT calculation (PBE) of a relaxed structure of LaNb2P.

Summary:
**Raw total energy**: -7.70 eV/atom
**Fermi-level density of states**: 2.2 states/eV/f.u.
**Energy relative to the elements**: -0.082 eV per atom

a = 7.931 Å, b = 7.931 Å, c = 6.276 Å
α = 50.81°, β = 50.81°, γ = 90.00°
Atoms (fractional coordinates):
P: 0.500 0.500 0.000
P: 0.250 0.750 0.500
Nb: 0.538 0.125 0.250
Nb: 0.212 0.625 0.250
Nb: 0.375 0.462 0.750
Nb: 0.875 0.788 0.750
La: 0.000 0.000 0.000
La: 0.750 0.250 0.500



[15]
The following is a DFT calculation (PBE) of a relaxed structure of LaNb3P.

Summary:
**Raw total energy**: -8.03 eV/atom
**Offset from the most stable computed form**: 0 meV/atom
**Fermi-level density of states**: 7.6 states/eV/f.u.
**Energy relative to the elements**: 0.080 eV per atom

a = 4.800 Å, b = 4.800 Å, c = 4.800 Å
α = 90.00°, β = 90.00°, γ = 90.00°
Atoms (fractional coordinates):
P: 0.000 0.000 0.000
Nb: 0.000 0.500 0.000
Nb: 0.000 0.000 0.500
Nb: 0.500 0.000 0.000
La: 0.500 0.500 0.500



[16]
The following is a DFT calculation (PBE) of a relaxed structure of La3NbP.

Summary:
**Raw total energy**: -5.93 eV/atom
**Offset from the most stable computed form**: 0 meV/atom
**Fermi-level density of states**: 6.8 states/eV/f.u.
**Energy relative to the elements**: 0.127 eV per atom

a = 5.537 Å, b = 5.537 Å, c = 5.537 Å
α = 90.00°, β = 90.00°, γ = 90.00°
Atoms (fractional coordinates):
P: 0.000 0.000 0.000
Nb: 0.500 0.500 0.500
La: 0.000 0.500 0.000
La: 0.000 0.000 0.500
La: 0.500 0.000 0.000



[17]
The following is a DFT calculation (PBE) of a relaxed structure of LaNb3P.

Summary:
**Raw total energy**: -6.11 eV/atom
**Offset from the most stable computed form**: 1922 meV/atom
**Fermi-level density of states**: 5.4 states/eV/f.u.
**Energy relative to the elements**: 2.002 eV per atom

a = 4.902 Å, b = 4.902 Å, c = 4.902 Å
α = 90.00°, β = 90.00°, γ = 90.00°
Atoms (fractional coordinates):
P: 0.500 0.500 0.500
Nb: 0.000 0.500 0.000
Nb: 0.000 0.000 0.500
Nb: 0.500 0.000 0.000
La: 0.000 0.000 0.000



[18]
The following is a DFT calculation (PBE) of a relaxed structure of La2NbP2.

Summary:
**Raw total energy**: -7.05 eV/atom
**Fermi-level density of states**: 5.5 states/eV/f.u.
**Energy relative to the elements**: -0.898 eV per atom

a = 7.240 Å, b = 7.240 Å, c = 4.324 Å
α = 90.00°, β = 90.00°, γ = 90.00°
Atoms (fractional coordinates):
P: 0.342 0.842 0.000
P: 0.842 0.658 0.000
P: 0.658 0.158 0.000
P: 0.158 0.342 0.000
Nb: 0.000 0.000 0.000
Nb: 0.500 0.500 0.000
La: 0.159 0.659 0.500
La: 0.659 0.841 0.500
La: 0.841 0.341 0.500
La: 0.341 0.159 0.500



[19]
The following is a DFT calculation (PBE) of a relaxed structure of LaNbP3.

Summary:
**Raw total energy**: -6.84 eV/atom
**Offset from the most stable computed form**: 0 meV/atom
**Fermi-level density of states**: 2.1 states/eV/f.u.
**Energy relative to the elements**: -0.595 eV per atom

a = 4.821 Å, b = 4.821 Å, c = 4.821 Å
α = 90.00°, β = 90.00°, γ = 90.00°
Atoms (fractional coordinates):
P: 0.000 0.500 0.000
P: 0.000 0.000 0.500
P: 0.500 0.000 0.000
Nb: 0.000 0.000 0.000
La: 0.500 0.500 0.500



[20]
The following is a DFT calculation (PBE) of a relaxed structure of LaNbP3.

Summary:
**Raw total energy**: -4.83 eV/atom
**Offset from the most stable computed form**: 2014 meV/atom
**Fermi-level density of states**: 11.2 states/eV/f.u.
**Energy relative to the elements**: 1.419 eV per atom

a = 5.127 Å, b = 5.127 Å, c = 5.127 Å
α = 90.00°, β = 90.00°, γ = 90.00°
Atoms (fractional coordinates):
P: 0.000 0.500 0.000
P: 0.000 0.000 0.500
P: 0.500 0.000 0.000
Nb: 0.500 0.500 0.500
La: 0.000 0.000 0.000